Here is Tb3Ce after structural relaxation from the Alexandria database. Energies are from GGA-PBE.

a = 7.190 Å, b = 7.190 Å, c = 5.708 Å
α = 90.00°, β = 90.00°, γ = 120.00°
Element x y z (fractional)
Tb 0.833 0.167 0.750
Ce 0.667 0.333 0.250
Ce 0.333 0.667 0.750
Tb 0.167 0.335 0.250
Tb 0.833 0.665 0.750
Tb 0.335 0.167 0.750
Tb 0.167 0.833 0.250
Tb 0.665 0.833 0.250

Output
DOS(E_F) in states/eV/atom: 1.967
Calculated formation energy in kJ/mol of atoms: 7.30
Energy above the most stable polymorph in this dataset in kJ/mol of atoms: 1.1